## KRe2As (PBE)

Data for a relaxed KRe2As crystal.

Calculated values
- DFT formation energy (eV/atom) = 0.9736
- spin magnetization (μB/f.u.) = 0.00
- space-group type = Immm

Unit cell a=6.017 b=6.017 c=6.017 alpha=153.87 beta=129.75 gamma=57.50
Atoms (fractional coordinates):
As1 0.750 0.250 0.500
K1 0.250 0.750 0.500
Re1 0.957 0.957 0.000
Re2 0.543 0.543 0.000